Material: Sm6Pd23
Method: DFT, PBE
State: optimized geometry

The value obtained for the energy is -659.8 eV/cell.

It has space group Fm-3m (No. 225), with a = 12.954 Å, b = 12.954 Å, c = 12.954 Å, α = 90.00°, β = 90.00° and γ = 90.00°. The asymmetric unit holds Sm at (0.000, 0.000, 0.224), Pd at (0.000, 0.000, 0.500), Pd at (0.000, 0.250, 0.250), Pd at (0.120, 0.120, 0.380) and Pd at (0.168, 0.168, 0.168).


Material: Sm5Er4Co2
Method: DFT, PBE
State: optimized geometry

The value obtained for the energy is -56.2 eV/cell.

It has space group P2/m (No. 10), with a = 8.911 Å, b = 3.516 Å, c = 9.932 Å, α = 90.00°, β = 93.24° and γ = 90.00°. The asymmetric unit holds Sm at (0.000, 0.000, 0.000), Sm at (0.024, 0.000, 0.335), Sm at (0.349, 0.000, 0.854), Er at (0.318, 0.500, 0.184), Er at (0.320, 0.500, 0.533) and Co at (0.462, 0.000, 0.355).


Material: Ce3Dy2In4
Method: DFT, PBE
State: optimized geometry

The value obtained for the energy is -82.0 eV/cell.

It has space group C2/m (No. 12), with a = 9.222 Å, b = 5.329 Å, c = 10.225 Å, α = 90.00°, β = 90.03° and γ = 90.00°. The asymmetric unit holds Ce at (0.000, 0.000, 0.000), Ce at (0.166, 0.500, 0.435), Dy at (0.167, 0.500, 0.779), In at (0.000, 0.000, 0.342) and In at (0.167, 0.500, 0.106).


Material: Ca2YGeO
Method: DFT, PBE
State: optimized geometry

The calculation puts the uncorrected formation energy at -1.46 eV per atom.

It has space group P4/mmm (No. 123), with a = 4.687 Å, b = 4.687 Å, c = 4.756 Å, α = 90.00°, β = 90.00° and γ = 90.00°. The asymmetric unit holds Ca at (0.000, 0.500, 0.000), Y at (0.000, 0.000, 0.500), Ge at (0.500, 0.500, 0.500) and O at (0.000, 0.000, 0.000).


Material: YTm5Tl2In
Method: DFT, PBE
State: optimized geometry

The value obtained for the energy is -144.3 eV/cell.

It has space group I4/mcm (No. 140), with a = 7.473 Å, b = 7.473 Å, c = 18.963 Å, α = 90.00°, β = 90.00° and γ = 90.00°. The asymmetric unit holds Y at (0.000, 0.500, 0.250), Tm at (0.000, 0.000, 0.000), Tm at (0.209, 0.291, 0.130), Tl at (0.130, 0.370, 0.500) and In at (0.000, 0.000, 0.250).


Material: BaZnPb2Cl8
Method: DFT, PBE
State: optimized geometry

The calculation puts the uncorrected formation energy at -1.43 eV per atom.

It has space group P2/m (No. 10), with a = 6.506 Å, b = 8.740 Å, c = 6.690 Å, α = 90.00°, β = 91.71° and γ = 90.00°. The asymmetric unit holds Ba at (0.000, 0.000, 0.000), Zn at (0.000, 0.500, 0.000), Pb at (0.500, 0.272, 0.500), Cl at (0.215, 0.297, 0.153), Cl at (0.248, 0.500, 0.687) and Cl at (0.277, 0.000, 0.642).


Material: Fe3Re
Method: DFT, PBE
State: optimized geometry

The value obtained for the energy is -37.1 eV/cell.

It has space group P-6m2 (No. 187), with a = 2.6026 Å, b = 2.6026 Å, c = 8.0077 Å, α = 90.00°, β = 90.00° and γ = 120.00°. The asymmetric unit holds Fe at (0.0000, 0.0000, 0.0000), Fe at (0.6667, 0.3333, 0.2364) and Re at (0.0000, 0.0000, 0.5000).